[1]
# TaTc3Pd

TaTc3Pd after structural relaxation (PBE, Alexandria via LeMat-Bulk).

a b c (Å): 4.6155 4.6155 4.6155
angles (deg): 90.00 90.00 90.00
With the nearest neighbours (Å) after each atom.
Positions (direct):
Ta  0.0000  0.0000  0.0000  12 Tc 3.26
Tc  0.0000  0.5000  0.5000  2 Pd 2.31
Tc  0.5000  0.0000  0.5000  2 Pd 2.31
Tc  0.5000  0.5000  0.0000  2 Pd 2.31
Pd  0.5000  0.5000  0.5000  6 Tc 2.31

Values from the calculation:
ΔH_f (0 K): 2.0488 eV per atom
symmetry: Pm-3m (221)
uncorrected energy: -7.58 eV per atom
total moment: 0.00 μB/f.u.
energy above the lowest structure with this stoichiometry: 0.269 eV/atom

[2]
# TaInTe2

TaInTe2 after structural relaxation (PBE, Alexandria via LeMat-Bulk).

a b c (Å): 3.6198 3.6198 31.4381
angles (deg): 90.00 90.00 120.00
With the nearest neighbours (Å) after each atom.
Positions (direct):
Ta  0.0000  0.0000  0.0000  6 Te 2.80
Ta  0.3333  0.6667  0.6667  6 Te 2.80
Ta  0.6667  0.3333  0.3333  6 Te 2.80
In  0.0000  0.0000  0.5000  2 Te 3.38, 6 In 3.62
In  0.3333  0.6667  0.1667  2 Te 3.38, 6 In 3.62
In  0.6667  0.3333  0.8333  2 Te 3.38, 6 In 3.62
Te  0.0000  0.0000  0.3924  3 Ta 2.80
Te  0.0000  0.0000  0.6076  3 Ta 2.80
Te  0.3333  0.6667  0.0591  3 Ta 2.80
Te  0.3333  0.6667  0.2742  3 Ta 2.80
Te  0.6667  0.3333  0.7258  3 Ta 2.80
Te  0.6667  0.3333  0.9409  3 Ta 2.80

Values from the calculation:
symmetry: R-3m (166)
uncorrected energy: -5.40 eV per atom
total moment: 0.00 μB/f.u.

[3]
# Ta4Nb2W5

Ta4Nb2W5 after structural relaxation (PBE, Alexandria via LeMat-Bulk).

a b c (Å): 2.8467 7.0545 9.5433
angles (deg): 92.45 95.62 97.79
With the nearest neighbours (Å) after each atom.
Positions (direct):
Ta  0.1358  0.2299  0.1830  1 Nb 2.80, 3 W 2.80-2.83, 4 Ta 2.83-2.85
Ta  0.3220  0.8593  0.0932  3 W 2.76-2.79, 5 Ta 2.83-2.87
Ta  0.6780  0.1407  0.9068  3 W 2.76-2.79, 5 Ta 2.83-2.87
Ta  0.8642  0.7701  0.8170  1 Nb 2.80, 3 W 2.80-2.83, 4 Ta 2.83-2.85
Nb  0.4049  0.6829  0.5446  4 W 2.79-2.83, 1 Ta 2.80, 3 Nb 2.82-2.85
Nb  0.5951  0.3171  0.4554  4 W 2.79-2.83, 1 Ta 2.80, 3 Nb 2.82-2.85
W  0.0512  0.4063  0.7280  2 Ta 2.76-2.80, 4 W 2.77-2.85, 2 Nb 2.80-2.83
W  0.2240  0.0473  0.6348  4 W 2.77-2.85, 2 Nb 2.79-2.81, 2 Ta 2.79-2.83
W  0.5000  0.5000  0.0000  4 Ta 2.78-2.80, 4 W 2.79-2.85
W  0.7760  0.9527  0.3652  4 W 2.77-2.85, 2 Nb 2.79-2.81, 2 Ta 2.79-2.83
W  0.9488  0.5937  0.2720  2 Ta 2.76-2.80, 4 W 2.77-2.85, 2 Nb 2.80-2.83

Values from the calculation:
ΔH_f (0 K): -0.0542 eV per atom
symmetry: P-1 (2)
uncorrected energy: -12.08 eV per atom
total moment: 0.00 μB/f.u.

[4]
# AgRu3

AgRu3 after structural relaxation (PBE, Alexandria via LeMat-Bulk).

a b c (Å): 4.4153 5.4693 4.9082
angles (deg): 90.00 90.00 90.00
With the nearest neighbours (Å) after each atom.
Positions (direct):
Ag  0.2500  0.2500  0.1415  12 Ru 2.70-2.84
Ag  0.7500  0.7500  0.8585  12 Ru 2.70-2.84
Ru  0.2500  0.5114  0.6425  7 Ru 2.61-2.86, 4 Ag 2.78-2.84
Ru  0.2500  0.7500  0.1756  8 Ru 2.64-2.92, 4 Ag 2.70-2.74
Ru  0.2500  0.9886  0.6425  7 Ru 2.61-2.86, 4 Ag 2.78-2.84
Ru  0.7500  0.0114  0.3575  7 Ru 2.61-2.86, 4 Ag 2.78-2.84
Ru  0.7500  0.2500  0.8244  8 Ru 2.64-2.92, 4 Ag 2.70-2.74
Ru  0.7500  0.4886  0.3575  7 Ru 2.61-2.86, 4 Ag 2.78-2.84

Values from the calculation:
ΔH_f (0 K): 0.4815 eV per atom
symmetry: Pmmn (59)
uncorrected energy: -7.19 eV per atom
total moment: 0.00 μB/f.u.

[5]
# Zr3TiNi2C

Zr3TiNi2C after structural relaxation (PBE, Alexandria via LeMat-Bulk).

a b c (Å): 4.1310 4.4554 12.8570
angles (deg): 90.00 90.00 90.00
With the nearest neighbours (Å) after each atom.
Positions (direct):
Zr  0.0000  0.0000  0.0000  2 C 2.23
Zr  0.0000  0.5000  0.1821  1 C 2.34, 1 Ni 2.45
Zr  0.0000  0.5000  0.8179  1 C 2.34, 1 Ni 2.45
Zr  0.5000  0.0000  0.3179  1 C 2.34, 1 Ni 2.45
Zr  0.5000  0.0000  0.6821  1 C 2.34, 1 Ni 2.45
Zr  0.5000  0.5000  0.5000  2 C 2.23
Ti  0.0000  0.0000  0.5000  2 C 2.07
Ti  0.5000  0.5000  0.0000  2 C 2.07
Ni  0.0000  0.5000  0.3728  3 Zr 2.45-2.63
Ni  0.0000  0.5000  0.6272  3 Zr 2.45-2.63
Ni  0.5000  0.0000  0.1272  3 Zr 2.45-2.63
Ni  0.5000  0.0000  0.8728  3 Zr 2.45-2.63
C  0.0000  0.5000  0.0000  2 Ti 2.07, 2 Zr 2.23
C  0.5000  0.0000  0.5000  2 Ti 2.07, 2 Zr 2.23

Values from the calculation:
ΔH_f (0 K): -0.3236 eV per atom
symmetry: Immm (71)
uncorrected energy: -8.08 eV per atom
total moment: 0.00 μB/f.u.

[6]
# Ac6Pt3Au

Ac6Pt3Au after structural relaxation (PBE, Alexandria via LeMat-Bulk).

a b c (Å): 12.7956 4.4280 13.5612
angles (deg): 90.00 112.94 90.00
With the nearest neighbours (Å) after each atom.
Positions (direct):
Ac  0.0557  0.2500  0.4005  2 Pt 3.05, 2 Au 3.26
Ac  0.0926  0.7500  0.9287  3 Pt 3.00-3.08
Ac  0.2453  0.2500  0.7703  3 Pt 3.04-3.07, 2 Au 3.33
Ac  0.2455  0.7500  0.2588  3 Pt 3.02-3.10
Ac  0.4072  0.2500  0.5646  3 Pt 3.05-3.13
Ac  0.4374  0.2500  0.1044  4 Pt 3.06-3.27
Ac  0.5626  0.7500  0.8956  4 Pt 3.06-3.27
Ac  0.5928  0.7500  0.4354  3 Pt 3.05-3.13
Ac  0.7545  0.2500  0.7412  3 Pt 3.02-3.10
Ac  0.7547  0.7500  0.2297  3 Pt 3.04-3.07, 2 Au 3.33
Ac  0.9074  0.2500  0.0713  3 Pt 3.00-3.08
Ac  0.9443  0.7500  0.5995  2 Pt 3.05, 2 Au 3.26
Pt  0.0062  0.2500  0.7676  6 Ac 3.00-3.10
Pt  0.3370  0.7500  0.9390  6 Ac 3.06-3.16
Pt  0.4183  0.2500  0.3382  6 Ac 3.02-3.27
Pt  0.5817  0.7500  0.6618  6 Ac 3.02-3.27
Pt  0.6630  0.2500  0.0610  6 Ac 3.06-3.16
Pt  0.9938  0.7500  0.2324  6 Ac 3.00-3.10
Au  0.2041  0.7500  0.5757  7 Ac 3.26-3.46
Au  0.7959  0.2500  0.4243  7 Ac 3.26-3.46

Values from the calculation:
ΔH_f (0 K): -0.8900 eV per atom
symmetry: P2_1/m (11)
uncorrected energy: -5.50 eV per atom
total moment: 0.00 μB/f.u.

[7]
# RbNbTeBr

RbNbTeBr after structural relaxation (PBE, Alexandria via LeMat-Bulk).

a b c (Å): 3.6446 3.7504 16.4483
angles (deg): 90.00 90.00 90.00
With the nearest neighbours (Å) after each atom.
Positions (direct):
Rb  0.0000  0.0000  0.0000  4 Br 3.42, 4 Rb 3.64-3.75, 4 Te 3.74
Rb  0.0000  0.5000  0.5000  4 Br 3.42, 4 Rb 3.64-3.75, 4 Te 3.74
Nb  0.0000  0.0000  0.2406  2 Br 2.75, 4 Te 2.91
Nb  0.0000  0.5000  0.7406  2 Br 2.75, 4 Te 2.91
Te  0.5000  0.0000  0.6623  4 Nb 2.91
Te  0.5000  0.5000  0.1623  4 Nb 2.91
Br  0.5000  0.0000  0.3661  2 Nb 2.75
Br  0.5000  0.5000  0.8661  2 Nb 2.75

Values from the calculation:
symmetry: Amm2 (38)
uncorrected energy: -4.47 eV per atom
total moment: 1.29 μB/f.u.
energy above the lowest structure with this stoichiometry: 0.000 eV/atom

[8]
# CSe2

CSe2 after structural relaxation (PBE, Alexandria via LeMat-Bulk).

a b c (Å): 9.1639 7.7860 6.5852
angles (deg): 90.00 90.00 90.00
With the nearest neighbours (Å) after each atom.
Positions (direct):
C  0.1510  0.2500  0.0012  2 Se 1.71
C  0.3490  0.7500  0.5012  2 Se 1.71
C  0.6510  0.2500  0.4988  2 Se 1.71
C  0.8490  0.7500  0.9988  2 Se 1.71
Se  0.0375  0.2500  0.2072  1 C 1.71
Se  0.2353  0.7500  0.2957  1 C 1.71
Se  0.2647  0.2500  0.7957  1 C 1.71
Se  0.4625  0.7500  0.7072  1 C 1.71
Se  0.5375  0.2500  0.2928  1 C 1.71
Se  0.7353  0.7500  0.2043  1 C 1.71
Se  0.7647  0.2500  0.7043  1 C 1.71
Se  0.9625  0.7500  0.7928  1 C 1.71

Values from the calculation:
symmetry: Pnma (62)
uncorrected energy: -4.73 eV per atom
total moment: 0.00 μB/f.u.
energy above the lowest structure with this stoichiometry: 0.103 eV/atom